--- a ---
# PBE KNi3, relaxed
data_KNi3
_symmetry_space_group_name_H-M 'P 1'
_symmetry_Int_Tables_number 1
_symmetry_space_group_name_Hall 'P 1'
_cell_length_a 9.443
_cell_length_b 9.443
_cell_length_c 9.443
_cell_angle_alpha 16.36
_cell_angle_beta 16.36
_cell_angle_gamma 16.36
loop_
_atom_site_label
_atom_site_type_symbol
_atom_site_fract_x
_atom_site_fract_y
_atom_site_fract_z
Ni1 Ni 0.235 0.235 0.235
Ni2 Ni 0.765 0.765 0.765
Ni3 Ni 0.500 0.500 0.500
K1 K 0.000 0.000 0.000
# Calculated volume, Å³ per cell: 58.3

--- b ---
# PBE KNi3, relaxed
data_KNi3
_symmetry_space_group_name_H-M 'P 1'
_symmetry_Int_Tables_number 1
_symmetry_space_group_name_Hall 'P 1'
_cell_length_a 4.782
_cell_length_b 4.782
_cell_length_c 2.620
_cell_angle_alpha 90.00
_cell_angle_beta 90.00
_cell_angle_gamma 90.00
loop_
_atom_site_label
_atom_site_type_symbol
_atom_site_fract_x
_atom_site_fract_y
_atom_site_fract_z
Ni1 Ni 0.500 0.000 0.500
Ni2 Ni 0.000 0.500 0.500
Ni3 Ni 0.500 0.500 0.000
K1 K 0.000 0.000 0.000
# Calculated volume, Å³ per cell: 59.9

Least stable of them? b.